No. 1
Computed, not measured: BeInAg2Hg at its PBEsol-relaxed geometry at the meta-GGA SCAN level of DFT.

```
5
Lattice="5.1216 0.0000 0.0000 0.0000 5.1216 0.0000 0.0000 0.0000 5.3923" Properties=species:S:1:pos:R:3 pbc="T T T"
Be 0.0000 0.0000 0.0000
In 2.5608 2.5608 2.6961
Ag 0.0000 2.5608 2.6961
Ag 2.5608 0.0000 2.6961
Hg 2.5608 2.5608 0.0000
```

V ... 141.4 Å³ per cell
Calculated formation energy ... 1.079 eV/atom
Spin magnetization ... 0.0 μB per formula unit
N(E_F) ... 1.825 states/eV/f.u.

=====

No. 2
Computed, not measured: V2ZnCu2O8 at its PBEsol-relaxed geometry at the meta-GGA SCAN level of DFT.

```
52
Lattice="6.4322 0.0000 0.0000 0.0000 8.2406 0.0000 -0.0724 0.0000 11.5342" Properties=species:S:1:pos:R:3 pbc="T T T"
V 0.6471 0.3458 3.9993
V 0.6110 3.7745 9.7664
V 2.4994 4.8468 4.2254
V 2.4632 7.5141 9.9925
V 3.8966 0.7265 1.5417
V 3.8604 3.3938 7.3088
V 5.7489 4.4661 1.7678
V 5.7127 7.8948 7.5349
Zn 0.7102 1.3503 0.5845
Zn 0.6740 2.7700 6.3516
Zn 5.6859 5.4706 5.1826
Zn 5.6497 6.8903 10.9497
Cu 1.4683 5.6287 7.2486
Cu 1.5044 6.7322 1.4815
Cu 2.3775 0.4463 7.2131
Cu 2.4137 3.6740 1.4460
Cu 3.9462 4.5666 10.0882
Cu 3.9823 7.7943 4.3211
Cu 4.8554 1.5084 10.0527
Cu 4.8916 2.6119 4.2856
O 0.2263 1.9559 4.5411
O 0.1901 2.1643 10.3082
O 0.4980 0.8318 7.0744
O 0.5342 3.2885 1.3073
O 0.7759 0.3177 2.3122
O 0.7397 3.8026 8.0793
O 1.1997 4.7629 5.4295
O 1.1636 7.5980 11.1966
O 1.9925 5.2106 2.5806
O 1.9563 7.1502 8.3477
O 2.1144 4.2043 10.4269
O 2.1506 8.1566 4.6598
O 2.6905 1.8185 0.9899
O 2.6543 2.3018 6.7570
O 3.1190 0.8034 9.9189
O 3.1552 3.3169 4.1518
O 3.2047 4.9237 7.3824
O 3.2409 7.4372 1.6153
O 3.7055 5.9388 4.7772
O 3.6693 6.4221 10.5443
O 4.2093 0.0840 6.8744
O 4.2455 4.0363 1.1073
O 4.4036 1.0903 3.1865
O 4.3674 3.0299 8.9536
O 5.1963 0.6426 0.3377
O 5.1601 3.4777 6.1048
O 5.6201 4.4380 3.4549
O 5.5839 7.9229 9.2220
O 5.8257 4.9521 10.2269
O 5.8618 7.4088 4.4598
O 6.1697 6.0762 1.2260
O 6.1335 6.2846 6.9931
```

V ... 611.4 Å³ per cell
Spin magnetization ... 2.0 μB per formula unit
Formation energy without anion corrections ... -1.8781 eV per atom

=====

The lowest V belongs to which entry? BeInAg2Hg

=====

Look up the V of the first one. 141.4 Å³ per cell

=====

What is the spin magnetization in the first record? 0.0 μB per formula unit

=====

Please write out number 2 again, unchanged.
Computed, not measured: V2ZnCu2O8 at its PBEsol-relaxed geometry at the meta-GGA SCAN level of DFT.

```
52
Lattice="6.4322 0.0000 0.0000 0.0000 8.2406 0.0000 -0.0724 0.0000 11.5342" Properties=species:S:1:pos:R:3 pbc="T T T"
V 0.6471 0.3458 3.9993
V 0.6110 3.7745 9.7664
V 2.4994 4.8468 4.2254
V 2.4632 7.5141 9.9925
V 3.8966 0.7265 1.5417
V 3.8604 3.3938 7.3088
V 5.7489 4.4661 1.7678
V 5.7127 7.8948 7.5349
Zn 0.7102 1.3503 0.5845
Zn 0.6740 2.7700 6.3516
Zn 5.6859 5.4706 5.1826
Zn 5.6497 6.8903 10.9497
Cu 1.4683 5.6287 7.2486
Cu 1.5044 6.7322 1.4815
Cu 2.3775 0.4463 7.2131
Cu 2.4137 3.6740 1.4460
Cu 3.9462 4.5666 10.0882
Cu 3.9823 7.7943 4.3211
Cu 4.8554 1.5084 10.0527
Cu 4.8916 2.6119 4.2856
O 0.2263 1.9559 4.5411
O 0.1901 2.1643 10.3082
O 0.4980 0.8318 7.0744
O 0.5342 3.2885 1.3073
O 0.7759 0.3177 2.3122
O 0.7397 3.8026 8.0793
O 1.1997 4.7629 5.4295
O 1.1636 7.5980 11.1966
O 1.9925 5.2106 2.5806
O 1.9563 7.1502 8.3477
O 2.1144 4.2043 10.4269
O 2.1506 8.1566 4.6598
O 2.6905 1.8185 0.9899
O 2.6543 2.3018 6.7570
O 3.1190 0.8034 9.9189
O 3.1552 3.3169 4.1518
O 3.2047 4.9237 7.3824
O 3.2409 7.4372 1.6153
O 3.7055 5.9388 4.7772
O 3.6693 6.4221 10.5443
O 4.2093 0.0840 6.8744
O 4.2455 4.0363 1.1073
O 4.4036 1.0903 3.1865
O 4.3674 3.0299 8.9536
O 5.1963 0.6426 0.3377
O 5.1601 3.4777 6.1048
O 5.6201 4.4380 3.4549
O 5.5839 7.9229 9.2220
O 5.8257 4.9521 10.2269
O 5.8618 7.4088 4.4598
O 6.1697 6.0762 1.2260
O 6.1335 6.2846 6.9931
```

V ... 611.4 Å³ per cell
Spin magnetization ... 2.0 μB per formula unit
Formation energy without anion corrections ... -1.8781 eV per atom